VASP calculation (PBE-GGA) on a relaxed LaSc2Ir crystal.

Lattice parameters (Å, degrees): 4.9955 4.9955 4.9955 120.13 120.13 89.78
Last column: nearest neighbours and their distance in Å.
Positions (direct):
La  0.7500  0.2500  0.5000  4 Ir 3.06, 4 Sc 3.06
Sc  0.0000  0.0000  0.0000  4 La 3.06, 4 Sc 3.06
Sc  0.2500  0.7500  0.5000  4 Ir 3.06, 4 Sc 3.06
Ir  0.5000  0.5000  0.0000  4 La 3.06, 4 Sc 3.06

Output
* energy of formation: -231 meV/atom
* uncorrected energy: -27.38 eV for the cell shown
* energy above the most stable polymorph in this dataset: 260 meV per atom
* calculated volume: 22.00 Å³ per atom
* space-group type: I-4m2 (119)
* DOS at the Fermi energy: 4.8 states/eV/cell